Entry 1:
# BeZnTeO

A geometry-optimized BeZnTeO structure (PBE, the Open Quantum Materials Database).

Unit cell a=3.8011 b=3.8011 c=9.1192 alpha=90.00 beta=90.00 gamma=90.00
Closest atoms and distances in Å follow each position.
Sites, in units of the cell vectors:
Be (0.2500, 0.2500, 0.1020)  1 Te 2.42
Be (0.7500, 0.7500, 0.8980)  1 Te 2.42
Zn (0.2500, 0.2500, 0.4349)  4 O 1.99
Zn (0.7500, 0.7500, 0.5651)  4 O 1.99
Te (0.2500, 0.2500, 0.8372)  1 Be 2.42
Te (0.7500, 0.7500, 0.1628)  1 Be 2.42
O (0.2500, 0.7500, 0.5000)  4 Zn 1.99
O (0.7500, 0.2500, 0.5000)  4 Zn 1.99

Space-group type: P4/nmm, No. 129
Uncorrected energy in eV/cell: -29.44

Entry 2:
# BeZnTeO

A geometry-optimized BeZnTeO structure (PBE, the Open Quantum Materials Database).

Unit cell a=5.1539 b=5.1539 c=5.6585 alpha=90.00 beta=90.00 gamma=90.00
Closest atoms and distances in Å follow each position.
Sites, in units of the cell vectors:
Be (0.2500, 0.2500, 0.1985)  1 O 1.40
Be (0.7500, 0.7500, 0.8015)  1 O 1.40
Zn (0.2500, 0.2500, 0.7634)  1 O 1.80
Zn (0.7500, 0.7500, 0.2366)  1 O 1.80
Te (0.2500, 0.7500, 0.0000)  4 Be 2.81, 4 Zn 2.90
Te (0.7500, 0.2500, 0.0000)  4 Be 2.81, 4 Zn 2.90
O (0.2500, 0.2500, 0.4453)  1 Be 1.40
O (0.7500, 0.7500, 0.5547)  1 Be 1.40

Space-group type: P4/nmm, No. 129
Uncorrected energy in eV/cell: -31.17

Entry 3:
# BeZnTeO

A geometry-optimized BeZnTeO structure (PBE, the Open Quantum Materials Database).

Unit cell a=3.5786 b=3.5786 c=10.2742 alpha=90.00 beta=90.00 gamma=90.00
Closest atoms and distances in Å follow each position.
Sites, in units of the cell vectors:
Be (0.2500, 0.2500, 0.0128)  4 O 1.79
Be (0.7500, 0.7500, 0.9872)  4 O 1.79
Zn (0.2500, 0.2500, 0.7231)  4 Te 2.62
Zn (0.7500, 0.7500, 0.2769)  4 Te 2.62
Te (0.2500, 0.2500, 0.3420)  4 Zn 2.62
Te (0.7500, 0.7500, 0.6580)  4 Zn 2.62
O (0.2500, 0.7500, 0.0000)  4 Be 1.79
O (0.7500, 0.2500, 0.0000)  4 Be 1.79

Space-group type: P4/nmm, No. 129
Uncorrected energy in eV/cell: -33.43

Entry 4:
# BeZnTeO

A geometry-optimized BeZnTeO structure (PBE, the Open Quantum Materials Database).

Unit cell a=6.1634 b=7.0358 c=5.7344 alpha=90.00 beta=90.00 gamma=90.00
Closest atoms and distances in Å follow each position.
Sites, in units of the cell vectors:
Be (0.1534, 0.1999, 0.0000)  1 O 1.55
Be (0.3466, 0.1999, 0.5000)  1 O 1.55
Be (0.6534, 0.8001, 0.0000)  1 O 1.55
Be (0.8466, 0.8001, 0.5000)  1 O 1.55
Zn (0.1640, 0.5741, 0.7724)  3 O 2.03-2.15
Zn (0.3360, 0.5741, 0.2724)  3 O 2.03-2.15
Zn (0.6640, 0.4259, 0.7724)  3 O 2.03-2.15
Zn (0.8360, 0.4259, 0.2724)  3 O 2.03-2.15
Te (0.0359, 0.8568, 0.1036)  3 Be 2.46-2.59
Te (0.4641, 0.8568, 0.6036)  3 Be 2.46-2.59
Te (0.5359, 0.1432, 0.1036)  3 Be 2.46-2.59
Te (0.9641, 0.1432, 0.6036)  3 Be 2.46-2.59
O (0.1079, 0.4076, 0.0741)  1 Be 1.55
O (0.3921, 0.4076, 0.5741)  1 Be 1.55
O (0.6079, 0.5924, 0.0741)  1 Be 1.55
O (0.8921, 0.5924, 0.5741)  1 Be 1.55

Space-group type: Pca2_1, No. 29
Uncorrected energy in eV/cell: -65.88

Entry 5:
# BeZnTeO

A geometry-optimized BeZnTeO structure (PBE, the Open Quantum Materials Database).

Unit cell a=4.9963 b=7.2531 c=8.1254 alpha=90.00 beta=90.00 gamma=90.00
Closest atoms and distances in Å follow each position.
Sites, in units of the cell vectors:
Be (0.0344, 0.2149, 0.0629)  2 O 1.51-1.52
Be (0.4656, 0.7851, 0.5629)  2 O 1.51-1.52
Be (0.5344, 0.2851, 0.9371)  2 O 1.51-1.52
Be (0.9656, 0.7149, 0.4371)  2 O 1.51-1.52
Zn (0.0584, 0.5473, 0.8770)  1 O 1.99
Zn (0.4416, 0.4527, 0.3770)  1 O 1.99
Zn (0.5584, 0.9527, 0.1230)  1 O 1.99
Zn (0.9416, 0.0473, 0.6230)  1 O 1.99
Te (0.2335, 0.1283, 0.3329)  1 Be 2.49, 2 Zn 2.60-2.68
Te (0.2665, 0.8717, 0.8329)  1 Be 2.49, 2 Zn 2.60-2.68
Te (0.7335, 0.3717, 0.6671)  1 Be 2.49, 2 Zn 2.60-2.68
Te (0.7665, 0.6283, 0.1671)  1 Be 2.49, 2 Zn 2.60-2.68
O (0.2425, 0.3278, 0.9700)  2 Be 1.51-1.52
O (0.2575, 0.6722, 0.4700)  2 Be 1.51-1.52
O (0.7425, 0.1722, 0.0300)  2 Be 1.51-1.52
O (0.7575, 0.8278, 0.5300)  2 Be 1.51-1.52

Space-group type: P2_12_12_1, No. 19
Uncorrected energy in eV/cell: -71.92

Entry 6:
# BeZnTeO

A geometry-optimized BeZnTeO structure (PBE, the Open Quantum Materials Database).

Unit cell a=3.4130 b=3.4130 c=11.8745 alpha=90.00 beta=90.00 gamma=90.00
Closest atoms and distances in Å follow each position.
Sites, in units of the cell vectors:
Be (0.2500, 0.7500, 0.0000)  4 Te 2.40, 4 Be 2.41
Be (0.7500, 0.2500, 0.0000)  4 Te 2.40, 4 Be 2.41
Zn (0.2500, 0.2500, 0.4230)  1 O 1.98
Zn (0.7500, 0.7500, 0.5770)  1 O 1.98
Te (0.2500, 0.2500, 0.8582)  4 Be 2.40
Te (0.7500, 0.7500, 0.1418)  4 Be 2.40
O (0.2500, 0.2500, 0.5899)  1 Zn 1.98
O (0.7500, 0.7500, 0.4101)  1 Zn 1.98

Space-group type: P4/nmm, No. 129
Uncorrected energy in eV/cell: -29.03